[1]
The following is a DFT calculation (PBE) of K2ZnCl after structural relaxation.

Cell: 5.8739 5.8739 5.8739 Å, 60.00 60.00 60.00°
Element x y z (fractional)
Zn: 0.7500 0.7500 0.7500
Cl: 0.5000 0.5000 0.5000
K: 0.0000 0.0000 0.0000
K: 0.2500 0.2500 0.2500

Calculated values
Its energy is -1.74 eV/atom.


[2]
The following is a DFT calculation (PBE) of K2Zn2Cl after structural relaxation.

Cell: 3.7801 3.7801 10.2089 Å, 79.33 79.33 90.00°
Element x y z (fractional)
Cl: 0.0000 0.0000 0.0000
K: 0.4047 0.4047 0.1907
K: 0.5953 0.5953 0.8093
Zn: 0.2500 0.7500 0.5000
Zn: 0.7500 0.2500 0.5000

Calculated values
Its energy is -1.99 eV/atom.


[3]
The following is a DFT calculation (PBE) of K2ZnCl4 after structural relaxation.

Cell: 7.3600 12.6222 27.4785 Å, 90.00 90.00 90.00°
Element x y z (fractional)
Zn: 0.2433 0.9133 0.5722
Zn: 0.2182 0.5867 0.4040
Zn: 0.7182 0.0867 0.0960
Zn: 0.7182 0.4133 0.5960
Zn: 0.2433 0.5867 0.0722
Zn: 0.7707 0.0854 0.7572
Zn: 0.2707 0.5854 0.7428
Zn: 0.2707 0.9146 0.2428
Zn: 0.7433 0.0867 0.4278
Zn: 0.2182 0.9133 0.9040
Zn: 0.7433 0.4133 0.9278
Zn: 0.7707 0.4146 0.2572
Cl: 0.8497 0.9292 0.7194
Cl: 0.3257 0.5519 0.9938
Cl: 0.8257 0.4481 0.0062
Cl: 0.0074 0.6373 0.7822
Cl: 0.3497 0.0708 0.2806
Cl: 0.6871 0.0504 0.1764
Cl: 0.3497 0.4292 0.7806
Cl: 0.0091 0.7879 0.9263
Cl: 0.0070 0.1435 0.3895
Cl: 0.1871 0.5504 0.3236
Cl: 0.5091 0.2121 0.0737
Cl: 0.5264 0.2851 0.9232
Cl: 0.0264 0.7851 0.5768
Cl: 0.8257 0.0519 0.5062
Cl: 0.6871 0.4496 0.6764
Cl: 0.9989 0.1488 0.0754
Cl: 0.1879 0.9384 0.1638
Cl: 0.4852 0.7139 0.7514
Cl: 0.4989 0.8512 0.9246
Cl: 0.1609 0.0642 0.6130
Cl: 0.5074 0.3627 0.2178
Cl: 0.6609 0.5642 0.8870
Cl: 0.1643 0.4346 0.4486
Cl: 0.6643 0.9346 0.0514
Cl: 0.1643 0.0654 0.9486
Cl: 0.0074 0.8627 0.2822
Cl: 0.4852 0.7861 0.2514
Cl: 0.5091 0.2879 0.5737
Cl: 0.3257 0.9481 0.4938
Cl: 0.9989 0.3512 0.5754
Cl: 0.0091 0.7121 0.4263
Cl: 0.6643 0.5654 0.5514
Cl: 0.5070 0.6435 0.1105
Cl: 0.6879 0.4384 0.3362
Cl: 0.1609 0.4358 0.1130
Cl: 0.9852 0.2861 0.2486
Cl: 0.1871 0.9496 0.8236
Cl: 0.5070 0.8565 0.6105
Cl: 0.5074 0.1373 0.7178
Cl: 0.6609 0.9358 0.3870
Cl: 0.9852 0.2139 0.7486
Cl: 0.6879 0.0616 0.8362
Cl: 0.0264 0.7149 0.0768
Cl: 0.0070 0.3565 0.8895
Cl: 0.5264 0.2149 0.4232
Cl: 0.1879 0.5616 0.6638
Cl: 0.8497 0.5708 0.2194
Cl: 0.4989 0.6488 0.4246
K: 0.2201 0.9324 0.0483
K: 0.7201 0.4324 0.4517
K: 0.2842 0.3072 0.3337
K: 0.2201 0.5676 0.5483
K: 0.2636 0.1862 0.1697
K: 0.2636 0.3138 0.6697
K: 0.2842 0.1928 0.8337
K: 0.7021 0.8111 0.4985
K: 0.7201 0.0676 0.9517
K: 0.2021 0.3111 0.0015
K: 0.7636 0.8138 0.8303
K: 0.7842 0.8072 0.1663
K: 0.7842 0.6928 0.6663
K: 0.7241 0.0792 0.6172
K: 0.2851 0.5768 0.2108
K: 0.7851 0.0768 0.2892
K: 0.7021 0.6889 0.9985
K: 0.2241 0.5792 0.8828
K: 0.2851 0.9232 0.7108
K: 0.2021 0.1889 0.5015
K: 0.7241 0.4208 0.1172
K: 0.7851 0.4232 0.7892
K: 0.7636 0.6862 0.3303
K: 0.2241 0.9208 0.3828

Calculated values
Its energy is -3.20 eV/atom.


| no. | formation energy without anion corrections (eV per atom) | M_tot (μB/cell) | calculated density (Mg/m³) |
| --- | --- | --- | --- |
| 1 | -0.41 | 0.5 | 2.07 |
| 2 | -0.67 | 0.0 | 2.88 |
| 3 | -1.65 | 0.0 | 2.23 |